The following is a PBE calculation of a relaxed structure of Tb3Ce2Er4, from Alexandria.

Lattice parameters (Å, degrees): 11.127 4.989 10.558 90.00 108.16 90.00
Space group C2/m (No. 12)
Unique sites:
Tb  0.000  0.000  0.000 x2
Tb  0.168  0.500  0.224 x4
Ce  0.167  0.500  0.553 x4
Er  0.001  0.000  0.336 x4
Er  0.166  0.500  0.888 x4

Calculated values
Formation energy: 59.3 meV/atom